Compound: Er4Sc3Tl4
Source: the Alexandria database
Functional: PBE
Structure: relaxed

Results
**DFT formation energy**: -0.170 eV/atom
**Space group**: Immm, No. 71

Unit cell a=10.474 b=10.474 c=10.474 alpha=161.00 beta=127.59 gamma=56.26
Fractional coordinates of all 11 atoms:
Er: 0.024 0.840 0.183
Er: 0.343 0.160 0.183
Er: 0.657 0.840 0.817
Er: 0.976 0.160 0.817
Sc: 0.000 0.500 0.500
Sc: 0.407 0.407 0.000
Sc: 0.593 0.593 0.000
Tl: 0.275 0.775 0.500
Tl: 0.280 0.000 0.280
Tl: 0.720 0.000 0.720
Tl: 0.725 0.225 0.500